{"formula": "Fe7P8O28", "functional": "GGA+U", "state": "optimized geometry", "crystal_system": "orthorhombic", "final_energy_ev_per_atom": -7.121, "cell": [[4.2539, -4.9174, 0.0000], [4.2539, 4.9174, 0.0000], [0.0000, 0.0000, 24.2839]], "species": ["Fe", "Fe", "Fe", "Fe", "Fe", "Fe", "Fe", "Fe", "Fe", "Fe", "Fe", "Fe", "Fe", "Fe", "P", "P", "P", "P", "P", "P", "P", "P", "P", "P", "P", "P", "P", "P", "P", "P", "O", "O", "O", "O", "O", "O", "O", "O", "O", "O", "O", "O", "O", "O", "O", "O", "O", "O", "O", "O", "O", "O", "O", "O", "O", "O", "O", "O", "O", "O", "O", "O", "O", "O", "O", "O", "O", "O", "O", "O", "O", "O", "O", "O", "O", "O", "O", "O", "O", "O", "O", "O", "O", "O", "O", "O"], "fractional_positions": [[0.0753, 0.7788, 0.1209], [0.1773, 0.4527, 0.8585], [0.2017, 0.2017, 0.5000], [0.2212, 0.9247, 0.3791], [0.2238, 0.7762, 0.7500], [0.4202, 0.4202, 0.0000], [0.4527, 0.1773, 0.1415], [0.5473, 0.8227, 0.6415], [0.5798, 0.5798, 0.5000], [0.7762, 0.2238, 0.2500], [0.7788, 0.0753, 0.8791], [0.7983, 0.7983, 0.0000], [0.8227, 0.5473, 0.3585], [0.9247, 0.2212, 0.6209], [0.0369, 0.7475, 0.6185], [0.1070, 0.6979, 0.4979], [0.2009, 0.2760, 0.7312], [0.2525, 0.9631, 0.8815], [0.2760, 0.2009, 0.2688], [0.3021, 0.8930, 0.0021], [0.3268, 0.4359, 0.3752], [0.4359, 0.3268, 0.6248], [0.5641, 0.6732, 0.1248], [0.6732, 0.5641, 0.8752], [0.6979, 0.1070, 0.5021], [0.7240, 0.7991, 0.7688], [0.7475, 0.0369, 0.3815], [0.7991, 0.7240, 0.2312], [0.8930, 0.3021, 0.9979], [0.9631, 0.2525, 0.1185], [0.0000, 0.2332, 0.6974], [0.0000, 0.7668, 0.1974], [0.0618, 0.4775, 0.1168], [0.0903, 0.2684, 0.2418], [0.1044, 0.1275, 0.8736], [0.1060, 0.8160, 0.0372], [0.1121, 0.3994, 0.9849], [0.1275, 0.1044, 0.1264], [0.1298, 0.8054, 0.5576], [0.1711, 0.5976, 0.3735], [0.1840, 0.8940, 0.4628], [0.1946, 0.8702, 0.9424], [0.1979, 0.4562, 0.7722], [0.2028, 0.7759, 0.8436], [0.2241, 0.7972, 0.6564], [0.2275, 0.2342, 0.4046], [0.2332, 0.0000, 0.3026], [0.2342, 0.2275, 0.5954], [0.2587, 0.5360, 0.4963], [0.2684, 0.0903, 0.7582], [0.3736, 0.3817, 0.3128], [0.3817, 0.3736, 0.6872], [0.3994, 0.1121, 0.0151], [0.4024, 0.8289, 0.1265], [0.4562, 0.1979, 0.2278], [0.4610, 0.4792, 0.9001], [0.4640, 0.7413, 0.0037], [0.4775, 0.0618, 0.8832], [0.4792, 0.4610, 0.0999], [0.5208, 0.5390, 0.5999], [0.5225, 0.9382, 0.3832], [0.5360, 0.2587, 0.5037], [0.5390, 0.5208, 0.4001], [0.5438, 0.8021, 0.7278], [0.5976, 0.1711, 0.6265], [0.6006, 0.8879, 0.5151], [0.6183, 0.6264, 0.1872], [0.6264, 0.6183, 0.8128], [0.7316, 0.9097, 0.2582], [0.7413, 0.4640, 0.9963], [0.7658, 0.7725, 0.0954], [0.7668, 0.0000, 0.8026], [0.7725, 0.7658, 0.9046], [0.7759, 0.2028, 0.1564], [0.7972, 0.2241, 0.3436], [0.8021, 0.5438, 0.2722], [0.8054, 0.1298, 0.4424], [0.8160, 0.1060, 0.9628], [0.8289, 0.4024, 0.8735], [0.8702, 0.1946, 0.0576], [0.8725, 0.8956, 0.6264], [0.8879, 0.6006, 0.4849], [0.8940, 0.1840, 0.5372], [0.8956, 0.8725, 0.3736], [0.9097, 0.7316, 0.7418], [0.9382, 0.5225, 0.6168]]}